Crystalline RbScPd3 at its relaxed geometry, computed with PBE-GGA.

For the excess energy over the best structure of this formula in the dataset, the calculation gives 5.45 eV/f.u. As for the density of states at the Fermi level: 8.3 states/eV per cell. The value obtained for the total energy is -3.3474 eV/atom.

It has space group Pm-3m (No. 221), with a = 5.086 Å, b = 5.086 Å, c = 5.086 Å, α = 90.00°, β = 90.00° and γ = 90.00°. The inequivalent atoms are Rb at (0.000, 0.000, 0.000), Sc at (0.500, 0.500, 0.500) and Pd at (0.000, 0.000, 0.500).

Crystalline RbScPd3 at its relaxed geometry, computed with PBE-GGA.

For the excess energy over the best structure of this formula in the dataset, the calculation gives 0.00 eV/f.u. As for the density of states at the Fermi level: 3.1 states/eV per cell. The value obtained for the total energy is -4.4380 eV/atom.

It has space group Pm-3m (No. 221), with a = 5.038 Å, b = 5.038 Å, c = 5.038 Å, α = 90.00°, β = 90.00° and γ = 90.00°. The inequivalent atoms are Rb at (0.000, 0.000, 0.000), Sc at (0.500, 0.500, 0.500) and Pd at (0.000, 0.500, 0.500).

Crystalline RbScPd2 at its relaxed geometry, computed with PBE-GGA.

For the excess energy over the best structure of this formula in the dataset, the calculation gives 0.14 eV/f.u. As for the density of states at the Fermi level: 2.0 states/eV per cell. The value obtained for the total energy is -4.3359 eV/atom.

It has space group Fm-3m (No. 225), with a = 7.084 Å, b = 7.084 Å, c = 7.084 Å, α = 90.00°, β = 90.00° and γ = 90.00°. The inequivalent atoms are Rb at (0.000, 0.000, 0.000), Sc at (0.000, 0.000, 0.500) and Pd at (0.250, 0.250, 0.250).

Crystalline Rb2ScPd at its relaxed geometry, computed with PBE-GGA.

For the excess energy over the best structure of this formula in the dataset, the calculation gives 2.04 eV/f.u. As for the density of states at the Fermi level: 20.4 states/eV per cell. The value obtained for the total energy is -2.5174 eV/atom.

It has space group Fm-3m (No. 225), with a = 8.400 Å, b = 8.400 Å, c = 8.400 Å, α = 90.00°, β = 90.00° and γ = 90.00°. The inequivalent atoms are Rb at (0.250, 0.250, 0.250), Sc at (0.000, 0.000, 0.000) and Pd at (0.000, 0.000, 0.500).

Crystalline Rb2ScPd at its relaxed geometry, computed with PBE-GGA.

For the excess energy over the best structure of this formula in the dataset, the calculation gives 0.00 eV/f.u. As for the density of states at the Fermi level: 42.0 states/eV per cell. The value obtained for the total energy is -3.0274 eV/atom.

It has space group I-42d (No. 122), with a = 13.308 Å, b = 13.308 Å, c = 4.892 Å, α = 90.00°, β = 90.00° and γ = 90.00°. The inequivalent atoms are Rb at (0.090, 0.250, 0.125), Sc at (0.000, 0.000, 0.500) and Pd at (0.000, 0.000, 0.000).

Crystalline RbSrScPd2 at its relaxed geometry, computed with PBE-GGA.

As for the density of states at the Fermi level: 6.3 states/eV per cell. The value obtained for the total energy is -3.0363 eV/atom.

It has space group P4/mmm (No. 123), with a = 5.512 Å, b = 5.512 Å, c = 5.955 Å, α = 90.00°, β = 90.00° and γ = 90.00°. The inequivalent atoms are Rb at (0.000, 0.000, 0.000), Sr at (0.500, 0.500, 0.500), Sc at (0.500, 0.500, 0.000) and Pd at (0.000, 0.500, 0.500).

Crystalline RbScTePd2 at its relaxed geometry, computed with PBE-GGA.

The value obtained for the formation energy from raw total energies is -0.16 eV/atom. As for the density of states at the Fermi level: 2.6 states/eV per cell. The value obtained for the total energy is -4.3258 eV/atom.

It has space group P4/mmm (No. 123), with a = 5.127 Å, b = 5.127 Å, c = 5.623 Å, α = 90.00°, β = 90.00° and γ = 90.00°. The inequivalent atoms are Rb at (0.000, 0.000, 0.000), Sc at (0.500, 0.500, 0.500), Te at (0.500, 0.500, 0.000) and Pd at (0.000, 0.500, 0.500).

Crystalline Rb2PdSe8 at its relaxed geometry, computed with PBE-GGA.

The value obtained for the formation energy from raw total energies is -0.42 eV/atom. As for the density of states at the Fermi level: 3.6 states/eV per cell. The value obtained for the total energy is -3.6030 eV/atom.

It has space group P-1 (No. 2), with a = 6.343 Å, b = 6.434 Å, c = 9.462 Å, α = 107.17°, β = 100.29° and γ = 93.24°. The inequivalent atoms are Rb at (0.122, 0.088, 0.281), Pd at (0.500, 0.500, 0.000), Se at (0.094, 0.480, 0.899), Se at (0.357, 0.110, 0.973), Se at (0.377, 0.612, 0.447) and Se at (0.458, 0.256, 0.723).

Crystalline Rb3Pd5Se12 at its relaxed geometry, computed with PBE-GGA.

The value obtained for the formation energy from raw total energies is -0.27 eV/atom. As for the density of states at the Fermi level: 120.8 states/eV per cell. The value obtained for the total energy is -3.8020 eV/atom.

It has space group Ia-3d (No. 230), with a = 16.837 Å, b = 16.837 Å, c = 16.837 Å, α = 90.00°, β = 90.00° and γ = 90.00°. The inequivalent atoms are Rb at (0.000, 0.250, 0.125), Pd at (0.000, 0.000, 0.000), Pd at (0.000, 0.250, 0.375) and Se at (0.064, 0.126, 0.919).

Crystalline RbPdSe at its relaxed geometry, computed with PBE-GGA.

The value obtained for the formation energy from raw total energies is -0.46 eV/atom. As for the density of states at the Fermi level: 3.6 states/eV per cell. The value obtained for the total energy is -3.6743 eV/atom.

It has space group I4mm (No. 107), with a = 3.702 Å, b = 3.702 Å, c = 11.939 Å, α = 90.00°, β = 90.00° and γ = 90.00°. The inequivalent atoms are Rb at (0.000, 0.000, 0.000), Pd at (0.000, 0.000, 0.263) and Se at (0.000, 0.000, 0.725).

Crystalline RbPd3Se at its relaxed geometry, computed with PBE-GGA.

For the excess energy over the best structure of this formula in the dataset, the calculation gives 7.76 eV/f.u. The value obtained for the formation energy from raw total energies is 1.45 eV/atom. As for the density of states at the Fermi level: 7.0 states/eV per cell. The value obtained for the total energy is -2.5546 eV/atom.

It has space group Pm-3m (No. 221), with a = 5.126 Å, b = 5.126 Å, c = 5.126 Å, α = 90.00°, β = 90.00° and γ = 90.00°. The inequivalent atoms are Rb at (0.000, 0.000, 0.000), Pd at (0.000, 0.000, 0.500) and Se at (0.500, 0.500, 0.500).

Crystalline Rb2Pd3Se4 at its relaxed geometry, computed with PBE-GGA.

The value obtained for the formation energy from raw total energies is -0.72 eV/atom. The value obtained for the total energy is -4.2162 eV/atom.

It has space group Fddd (No. 70, origin choice 2), with a = 6.478 Å, b = 11.335 Å, c = 27.922 Å, α = 90.00°, β = 90.00° and γ = 90.00°. The inequivalent atoms are Rb at (0.125, 0.125, 0.051), Pd at (0.125, 0.125, 0.376), Pd at (0.125, 0.125, 0.625) and Se at (0.121, 0.291, 0.566).